Record 1
A relaxed structure of YZrHSe2, computed with GGA-PBE.

Computed properties:
E: -5.66 eV per atom
energy above the most stable polymorph in this dataset: 0 meV/atom
space-group type: P4/mmm

Cell lengths 5.4153, 5.4153, 3.8141 Å; angles 90.00, 90.00, 90.00 degrees
Positions (direct):
1 Y 0.0000 0.0000 0.0000
2 Zr 0.5000 0.5000 0.5000
3 H 0.0000 0.0000 0.5000
4 Se 0.0000 0.5000 0.0000
5 Se 0.5000 0.0000 0.0000

Record 2
A relaxed structure of ZnH2Se, computed with GGA-PBE.

Computed properties:
E: -2.14 eV per atom
energy above the most stable polymorph in this dataset: 691 meV/atom
space-group type: Fm-3m

Cell lengths 5.5422, 5.5422, 5.5422 Å; angles 90.00, 90.00, 90.00 degrees
Positions (direct):
1 Zn 0.0000 0.0000 0.0000
2 Zn 0.0000 0.5000 0.5000
3 Zn 0.5000 0.0000 0.5000
4 Zn 0.5000 0.5000 0.0000
5 H 0.2500 0.2500 0.2500
6 H 0.2500 0.2500 0.7500
7 H 0.2500 0.7500 0.2500
8 H 0.2500 0.7500 0.7500
9 H 0.7500 0.2500 0.2500
10 H 0.7500 0.2500 0.7500
11 H 0.7500 0.7500 0.2500
12 H 0.7500 0.7500 0.7500
13 Se 0.0000 0.0000 0.5000
14 Se 0.0000 0.5000 0.0000
15 Se 0.5000 0.0000 0.0000
16 Se 0.5000 0.5000 0.5000

Record 3
A relaxed structure of ZnHSe3, computed with GGA-PBE.

Computed properties:
E: -2.12 eV per atom
energy above the most stable polymorph in this dataset: 208 meV/atom
space-group type: Pm-3m

Cell lengths 4.9662, 4.9662, 4.9662 Å; angles 90.00, 90.00, 90.00 degrees
Positions (direct):
1 Zn 0.0000 0.0000 0.0000
2 H 0.5000 0.5000 0.5000
3 Se 0.0000 0.0000 0.5000
4 Se 0.0000 0.5000 0.0000
5 Se 0.5000 0.0000 0.0000

Record 4
A relaxed structure of ZnHSe3, computed with GGA-PBE.

Computed properties:
E: -2.33 eV per atom
energy above the most stable polymorph in this dataset: 0 meV/atom
space-group type: Pm-3m

Cell lengths 4.3790, 4.3790, 4.3790 Å; angles 90.00, 90.00, 90.00 degrees
Positions (direct):
1 Zn 0.0000 0.0000 0.0000
2 H 0.5000 0.5000 0.5000
3 Se 0.0000 0.5000 0.5000
4 Se 0.5000 0.0000 0.5000
5 Se 0.5000 0.5000 0.0000

Record 5
A relaxed structure of Zn2HSe, computed with GGA-PBE.

Computed properties:
E: -1.99 eV per atom
energy above the most stable polymorph in this dataset: 394 meV/atom
space-group type: Fm-3m

Cell lengths 6.2324, 6.2324, 6.2324 Å; angles 90.00, 90.00, 90.00 degrees
Positions (direct):
1 Zn 0.2500 0.2500 0.2500
2 Zn 0.2500 0.2500 0.7500
3 Zn 0.2500 0.7500 0.2500
4 Zn 0.2500 0.7500 0.7500
5 Zn 0.7500 0.2500 0.2500
6 Zn 0.7500 0.2500 0.7500
7 Zn 0.7500 0.7500 0.2500
8 Zn 0.7500 0.7500 0.7500
9 H 0.0000 0.0000 0.0000
10 H 0.0000 0.5000 0.5000
11 H 0.5000 0.0000 0.5000
12 H 0.5000 0.5000 0.0000
13 Se 0.0000 0.0000 0.5000
14 Se 0.0000 0.5000 0.0000
15 Se 0.5000 0.0000 0.0000
16 Se 0.5000 0.5000 0.5000

Record 6
A relaxed structure of ZnH2Se, computed with GGA-PBE.

Computed properties:
E: -2.83 eV per atom
energy above the most stable polymorph in this dataset: 0 meV/atom
space-group type: P1

Cell lengths 2.9634, 4.7235, 6.9138 Å; angles 80.12, 86.07, 75.97 degrees
Positions (direct):
1 Zn 0.0000 0.0000 0.0000
2 H 0.6791 0.0262 0.4723
3 H 0.7904 0.8766 0.5274
4 Se 0.2883 0.4575 0.9969

Record 7
A relaxed structure of Zn2HSe, computed with GGA-PBE.

Computed properties:
E: -2.39 eV per atom
energy above the most stable polymorph in this dataset: 0 meV/atom
space-group type: I-42d

Cell lengths 4.5828, 4.5828, 12.3699 Å; angles 90.00, 90.00, 90.00 degrees
Positions (direct):
1 Zn 0.1494 0.2500 0.1250
2 Zn 0.2500 0.6494 0.3750
3 Zn 0.2500 0.8506 0.8750
4 Zn 0.3506 0.2500 0.6250
5 Zn 0.6494 0.7500 0.6250
6 Zn 0.7500 0.1494 0.8750
7 Zn 0.7500 0.3506 0.3750
8 Zn 0.8506 0.7500 0.1250
9 H 0.0000 0.0000 0.0000
10 H 0.0000 0.5000 0.2500
11 H 0.5000 0.0000 0.7500
12 H 0.5000 0.5000 0.5000
13 Se 0.0000 0.0000 0.5000
14 Se 0.0000 0.5000 0.7500
15 Se 0.5000 0.0000 0.2500
16 Se 0.5000 0.5000 0.0000

Record 8
A relaxed structure of ZnH2Se, computed with GGA-PBE.

Computed properties:
E: -2.53 eV per atom
energy above the most stable polymorph in this dataset: 299 meV/atom
space-group type: I4_1/amd

Cell lengths 5.7614, 5.7614, 8.1993 Å; angles 90.00, 90.00, 90.00 degrees
Positions (direct):
1 Zn 0.0000 0.2500 0.3750
2 Zn 0.0000 0.7500 0.6250
3 Zn 0.5000 0.2500 0.1250
4 Zn 0.5000 0.7500 0.8750
5 H 0.0000 0.0000 0.0000
6 H 0.0000 0.5000 0.0000
7 H 0.2500 0.2500 0.7500
8 H 0.2500 0.7500 0.2500
9 H 0.5000 0.0000 0.5000
10 H 0.5000 0.5000 0.5000
11 H 0.7500 0.2500 0.7500
12 H 0.7500 0.7500 0.2500
13 Se 0.0000 0.2500 0.8750
14 Se 0.0000 0.7500 0.1250
15 Se 0.5000 0.2500 0.6250
16 Se 0.5000 0.7500 0.3750